## TlPbSeO5 (PBE)

Data for a geometry-optimized TlPbSeO5 structure.

- E_tot (eV for the cell shown) = -81.21
- spin magnetization (μB/atom) = 0.0000
- raw formation energy (eV/atom) = -0.78

Unit cell a=6.755 b=6.755 c=7.513 alpha=101.44 beta=101.44 gamma=113.50
Atoms (fractional coordinates):
Tl1 0.000 0.000 0.500
Tl2 0.000 0.000 0.000
Pb1 0.297 0.703 0.250
Pb2 0.703 0.297 0.750
Se1 0.678 0.322 0.250
Se2 0.322 0.678 0.750
O1 0.099 0.901 0.250
O2 0.901 0.099 0.750
O3 0.887 0.353 0.144
O4 0.113 0.647 0.856
O5 0.647 0.113 0.356
O6 0.353 0.887 0.644
O7 0.746 0.552 0.428
O8 0.254 0.448 0.572
O9 0.448 0.254 0.072
O10 0.552 0.746 0.928

***

## Sr3Tc5N12 (PBE)

Data for a geometry-optimized Sr3Tc5N12 structure.

- E_tot (eV for the cell shown) = -644.26
- spin magnetization (μB/atom) = 0.0001
- raw formation energy (eV/atom) = -0.21

Unit cell a=11.316 b=11.316 c=11.316 alpha=109.47 beta=109.47 gamma=109.47
Atoms (fractional coordinates):
Sr1 0.750 0.375 0.125
Sr2 0.875 0.750 0.125
Sr3 0.375 0.750 0.625
Sr4 0.250 0.125 0.375
Sr5 0.875 0.125 0.250
Sr6 0.375 0.625 0.250
Sr7 0.625 0.375 0.750
Sr8 0.125 0.875 0.750
Sr9 0.750 0.875 0.625
Sr10 0.625 0.250 0.375
Sr11 0.125 0.250 0.875
Sr12 0.250 0.625 0.875
Tc1 0.125 0.375 0.250
Tc2 0.000 0.500 0.000
Tc3 0.000 0.000 0.000
Tc4 0.375 0.250 0.125
Tc5 0.500 0.000 0.500
Tc6 0.500 0.500 0.000
Tc7 0.125 0.750 0.375
Tc8 0.750 0.125 0.875
Tc9 0.750 0.625 0.375
Tc10 0.375 0.125 0.750
Tc11 0.625 0.875 0.250
Tc12 0.500 0.500 0.500
Tc13 0.500 0.000 0.000
Tc14 0.000 0.000 0.500
Tc15 0.250 0.375 0.625
Tc16 0.250 0.875 0.125
Tc17 0.000 0.500 0.500
Tc18 0.875 0.250 0.625
Tc19 0.625 0.750 0.875
Tc20 0.875 0.625 0.750
N1 0.684 0.107 0.000
N2 0.315 0.500 0.393
N3 0.000 0.393 0.316
N4 0.500 0.184 0.107
N5 0.578 0.684 0.685
N6 0.000 0.607 0.185
N7 0.315 0.816 0.422
N8 0.107 0.922 0.107
N9 0.607 0.000 0.685
N10 0.684 0.578 0.185
N11 0.816 0.500 0.393
N12 0.815 0.893 0.000
N13 0.107 0.684 0.500
N14 0.393 0.393 0.078
N15 0.078 0.893 0.393
N16 0.422 0.107 0.607
N17 0.078 0.185 0.184
N18 0.500 0.685 0.107
N19 0.815 0.922 0.316
N20 0.107 0.422 0.107
N21 0.393 0.000 0.816
N22 0.607 0.607 0.422
N23 0.893 0.815 0.500
N24 0.816 0.315 0.922
N25 0.393 0.393 0.578
N26 0.107 0.185 0.500
N27 0.184 0.685 0.078
N28 0.185 0.078 0.684
N29 0.607 0.000 0.184
N30 0.893 0.578 0.893
N31 0.500 0.315 0.893
N32 0.578 0.893 0.393
N33 0.922 0.815 0.816
N34 0.922 0.107 0.607
N35 0.893 0.316 0.500
N36 0.185 0.107 0.000
N37 0.607 0.607 0.922
N38 0.393 0.000 0.315
N39 0.316 0.422 0.815
N40 0.184 0.500 0.607
N41 0.893 0.078 0.893
N42 0.685 0.184 0.578
N43 0.500 0.816 0.893
N44 0.000 0.393 0.815
N45 0.422 0.316 0.315
N46 0.000 0.607 0.684
N47 0.685 0.500 0.607
N48 0.316 0.893 0.000

***

## TaNb8Mo2 (PBE)

Data for a geometry-optimized TaNb8Mo2 structure.

- formation energy from the elements (eV/f.u.) = 4.38
- E_tot (eV for the cell shown) = -109.70
- spin magnetization (μB/atom) = 0.0000

Unit cell a=4.911 b=7.563 c=7.312 alpha=58.86 beta=76.56 gamma=63.30
Atoms (fractional coordinates):
Ta1 0.500 0.000 0.000
Nb1 0.904 0.082 0.239
Nb2 0.904 0.321 0.761
Nb3 0.341 0.383 0.000
Nb4 0.500 0.778 0.443
Nb5 0.500 0.222 0.557
Nb6 0.659 0.617 0.000
Nb7 0.096 0.679 0.239
Nb8 0.096 0.918 0.761
Mo1 0.000 0.320 0.360
Mo2 0.000 0.680 0.640

***

## Ta2TiC4 (PBE)

Data for a geometry-optimized Ta2TiC4 structure.

- formation energy from the elements (eV/f.u.) = 5.31
- E_tot (eV for the cell shown) = -63.18
- spin magnetization (μB/atom) = 0.0000

Unit cell a=3.891 b=3.891 c=6.152 alpha=71.56 beta=71.56 gamma=90.00
Atoms (fractional coordinates):
C1 0.193 0.193 0.613
C2 0.807 0.807 0.387
C3 0.000 0.500 0.000
C4 0.500 0.000 0.000
Ti1 0.000 0.000 0.000
Ta1 0.376 0.376 0.249
Ta2 0.624 0.624 0.751

***

## Hf3MnTe (PBE)

Data for a geometry-optimized Hf3MnTe structure.

- distance to the lowest polymorph of the same formula (kJ/mol of formula units) = 0
- E_tot (eV for the cell shown) = -41.33
- spin magnetization (μB/atom) = 0.0000
- raw formation energy (eV/atom) = 0.17

Unit cell a=4.814 b=4.814 c=4.814 alpha=90.00 beta=90.00 gamma=90.00
Atoms (fractional coordinates):
Te1 0.500 0.500 0.500
Hf1 0.000 0.500 0.000
Hf2 0.000 0.000 0.500
Hf3 0.500 0.000 0.000
Mn1 0.000 0.000 0.000

***

## LaPr4Er4 (PBE)

Data for a geometry-optimized LaPr4Er4 structure.

- distance to the lowest polymorph of the same formula (kJ/mol of formula units) = 210
- formation energy from the elements (eV/f.u.) = 2.40
- E_tot (eV for the cell shown) = -79.79
- spin magnetization (μB/atom) = 0.0014

Unit cell a=7.204 b=7.204 c=12.416 alpha=90.00 beta=90.00 gamma=90.00
Atoms (fractional coordinates):
La1 0.000 0.000 0.000
La2 0.500 0.500 0.500
Pr1 0.500 0.763 0.775
Pr2 0.500 0.237 0.775
Pr3 0.763 0.500 0.225
Pr4 0.237 0.500 0.225
Pr5 0.263 0.000 0.275
Pr6 0.737 0.000 0.275
Pr7 0.000 0.263 0.725
Pr8 0.000 0.737 0.725
Er1 0.219 0.500 0.941
Er2 0.781 0.500 0.941
Er3 0.500 0.781 0.059
Er4 0.500 0.219 0.059
Er5 0.000 0.719 0.441
Er6 0.000 0.281 0.441
Er7 0.281 0.000 0.559
Er8 0.719 0.000 0.559

***

## NdY6Ho3Th2 (PBE)

Data for a geometry-optimized NdY6Ho3Th2 structure.

- formation energy from the elements (eV/f.u.) = 0.41
- E_tot (eV for the cell shown) = -71.71
- spin magnetization (μB/atom) = 0.0000

Unit cell a=6.201 b=6.201 c=11.787 alpha=95.05 beta=95.05 gamma=119.96
Atoms (fractional coordinates):
Nd1 0.000 0.000 0.000
Y1 0.916 0.579 0.751
Y2 0.746 0.746 0.249
Y3 0.084 0.421 0.249
Y4 0.579 0.916 0.751
Y5 0.254 0.254 0.751
Y6 0.421 0.084 0.249
Ho1 0.166 0.834 0.500
Ho2 0.834 0.166 0.500
Ho3 0.500 0.500 0.500
Th1 0.333 0.667 0.000
Th2 0.667 0.333 0.000

***

## LiTl3Bi2S6 (PBE)

Data for a geometry-optimized LiTl3Bi2S6 structure.

- E_tot (eV for the cell shown) = -46.41
- spin magnetization (μB/atom) = 0.0000
- raw formation energy (eV/atom) = -0.41

Unit cell a=7.073 b=7.073 c=7.279 alpha=99.15 beta=99.15 gamma=120.22
Atoms (fractional coordinates):
Li1 0.000 0.000 0.000
Tl1 0.163 0.837 0.500
Tl2 0.837 0.163 0.500
Tl3 0.500 0.500 0.500
Bi1 0.333 0.667 0.000
Bi2 0.667 0.333 0.000
S1 0.925 0.592 0.773
S2 0.746 0.746 0.216
S3 0.075 0.408 0.227
S4 0.592 0.925 0.773
S5 0.254 0.254 0.784
S6 0.408 0.075 0.227

***

## LaReP2 (PBE)

Data for a geometry-optimized LaReP2 structure.

- distance to the lowest polymorph of the same formula (kJ/mol of formula units) = 396
- formation energy from the elements (eV/f.u.) = 0.93
- E_tot (eV for the cell shown) = -27.27
- spin magnetization (μB/atom) = 0.0003

Unit cell a=8.776 b=8.776 c=8.776 alpha=20.45 beta=20.45 gamma=20.45
Atoms (fractional coordinates):
La1 0.747 0.747 0.747
P1 0.984 0.984 0.984
P2 0.249 0.249 0.249
Re1 0.521 0.521 0.521

***

## YMnSe2 (PBE)

Data for a geometry-optimized YMnSe2 structure.

- E_tot (eV for the cell shown) = -25.69
- spin magnetization (μB/atom) = 0.0000
- raw formation energy (eV/atom) = -0.77

Unit cell a=3.942 b=3.942 c=6.072 alpha=71.05 beta=71.05 gamma=60.01
Atoms (fractional coordinates):
Mn1 0.250 0.250 0.250
Se1 0.981 0.981 0.056
Se2 0.519 0.519 0.444
Y1 0.750 0.750 0.750

***

## SrCr2Si (PBE)

Data for a geometry-optimized SrCr2Si structure.

- E_tot (eV for the cell shown) = -23.40
- spin magnetization (μB/atom) = 2.2079
- raw formation energy (eV/atom) = 0.74

Unit cell a=4.987 b=4.987 c=4.987 alpha=60.00 beta=60.00 gamma=60.00
Atoms (fractional coordinates):
Cr1 0.000 0.000 0.000
Cr2 0.250 0.250 0.250
Si1 0.500 0.500 0.500
Sr1 0.750 0.750 0.750

***

## SiSb2Cl (PBE)

Data for a geometry-optimized SiSb2Cl structure.

- distance to the lowest polymorph of the same formula (kJ/mol of formula units) = 66
- E_tot (eV for the cell shown) = -14.70
- spin magnetization (μB/atom) = 0.0000
- raw formation energy (eV/atom) = 0.20

Unit cell a=3.643 b=3.643 c=7.386 alpha=90.00 beta=90.00 gamma=90.00
Atoms (fractional coordinates):
Cl1 0.500 0.500 0.747
Sb1 0.000 0.000 0.022
Sb2 0.500 0.500 0.279
Si1 0.000 0.000 0.453

***

## TaTiC (PBE)

Data for a geometry-optimized TaTiC structure.

- distance to the lowest polymorph of the same formula (kJ/mol of formula units) = 0
- formation energy from the elements (eV/f.u.) = -1.74
- E_tot (eV for the cell shown) = -61.42
- spin magnetization (μB/atom) = 0.0000

Unit cell a=3.071 b=5.369 c=5.766 alpha=116.34 beta=105.44 gamma=90.00
Atoms (fractional coordinates):
C1 0.750 0.749 0.499
C2 0.250 0.251 0.501
Ti1 0.127 0.466 0.255
Ti2 0.873 0.534 0.745
Ta1 0.623 0.963 0.247
Ta2 0.377 0.037 0.753

***

## NbAl2CrS (PBE)

Data for a geometry-optimized NbAl2CrS structure.

- E_tot (eV for the cell shown) = -28.10
- spin magnetization (μB/atom) = 0.0778
- raw formation energy (eV/atom) = 0.64

Unit cell a=4.718 b=4.419 c=4.718 alpha=90.00 beta=90.00 gamma=90.00
Atoms (fractional coordinates):
Cr1 0.000 0.000 0.000
Nb1 0.000 0.500 0.000
S1 0.500 0.500 0.500
Al1 0.000 0.000 0.500
Al2 0.500 0.000 0.000

***

## KCrSe2 (PBE)

Data for a geometry-optimized KCrSe2 structure.

- E_tot (eV for the cell shown) = -20.98
- spin magnetization (μB/atom) = 0.7494
- raw formation energy (eV/atom) = -0.82

Unit cell a=3.850 b=3.850 c=7.803 alpha=75.72 beta=75.72 gamma=60.00
Atoms (fractional coordinates):
K1 0.499 0.499 0.503
Cr1 0.667 0.667 0.998
Se1 0.059 0.059 0.822
Se2 0.274 0.274 0.177

***

## Sr2LiGaIr (PBE)

Data for a geometry-optimized Sr2LiGaIr structure.

- distance to the lowest polymorph of the same formula (kJ/mol of formula units) = 218
- formation energy from the elements (eV/f.u.) = 1.33
- E_tot (eV for the cell shown) = -15.83
- spin magnetization (μB/atom) = 0.0000

Unit cell a=5.617 b=4.262 c=5.617 alpha=90.00 beta=90.00 gamma=90.00
Atoms (fractional coordinates):
Sr1 0.000 0.000 0.500
Sr2 0.500 0.000 0.000
Ir1 0.000 0.500 0.000
Ga1 0.500 0.500 0.500
Li1 0.000 0.000 0.000

***

## K2AcHgO4 (PBE)

Data for a geometry-optimized K2AcHgO4 structure.

- E_tot (eV for the cell shown) = -38.86
- spin magnetization (μB/atom) = 0.1048
- raw formation energy (eV/atom) = -1.55

Unit cell a=3.611 b=6.629 c=6.995 alpha=114.00 beta=90.00 gamma=90.00
Atoms (fractional coordinates):
K1 0.500 0.000 0.500
K2 0.000 0.500 0.500
Ac1 0.500 0.500 0.000
Hg1 0.000 0.000 0.000
O1 0.500 0.213 0.177
O2 0.500 0.787 0.823
O3 0.000 0.300 0.766
O4 0.000 0.700 0.234

***

## TaTi2Pb (PBE)

Data for a geometry-optimized TaTi2Pb structure.

- formation energy from the elements (eV/f.u.) = 0.68
- E_tot (eV for the cell shown) = -30.67
- spin magnetization (μB/atom) = 0.0000

Unit cell a=3.143 b=3.143 c=9.494 alpha=80.47 beta=80.47 gamma=60.00
Atoms (fractional coordinates):
Pb1 0.500 0.500 0.500
Ti1 0.255 0.255 0.235
Ti2 0.745 0.745 0.765
Ta1 0.000 0.000 0.000

***

## BaGe2Os (PBE)

Data for a geometry-optimized BaGe2Os structure.

- distance to the lowest polymorph of the same formula (kJ/mol of formula units) = 4
- formation energy from the elements (eV/f.u.) = -0.78
- E_tot (eV for the cell shown) = -46.33
- spin magnetization (μB/atom) = 0.0000

Unit cell a=5.713 b=5.713 c=8.404 alpha=70.13 beta=70.13 gamma=90.00
Atoms (fractional coordinates):
Ge1 0.875 0.125 0.250
Ge2 0.875 0.625 0.250
Ge3 0.375 0.125 0.750
Ge4 0.875 0.125 0.750
Os1 0.000 0.000 0.000
Os2 0.750 0.250 0.500
Ba1 0.500 0.500 0.000
Ba2 0.250 0.750 0.500

***

## ZrScTiMo (PBE)

Data for a geometry-optimized ZrScTiMo structure.

- formation energy from the elements (eV/f.u.) = 0.38
- E_tot (eV for the cell shown) = -33.23
- spin magnetization (μB/atom) = 0.0000

Unit cell a=4.762 b=4.762 c=4.762 alpha=60.00 beta=60.00 gamma=60.00
Atoms (fractional coordinates):
Sc1 0.500 0.500 0.500
Mo1 0.000 0.000 0.000
Zr1 0.750 0.750 0.750
Ti1 0.250 0.250 0.250

***

## LiThTe2 (PBE)

Data for a geometry-optimized LiThTe2 structure.

- E_tot (eV for the cell shown) = -40.16
- spin magnetization (μB/atom) = 0.2455
- raw formation energy (eV/atom) = -1.12

Unit cell a=4.229 b=4.229 c=15.171 alpha=90.00 beta=90.00 gamma=120.00
Atoms (fractional coordinates):
Li1 0.000 0.000 0.000
Li2 0.000 0.000 0.500
Th1 0.000 0.000 0.750
Th2 0.000 0.000 0.250
Te1 0.667 0.333 0.886
Te2 0.667 0.333 0.614
Te3 0.333 0.667 0.386
Te4 0.333 0.667 0.114

***

## PmTmOs (PBE)

Data for a geometry-optimized PmTmOs structure.

- distance to the lowest polymorph of the same formula (kJ/mol of formula units) = 0
- formation energy from the elements (eV/f.u.) = -0.55
- E_tot (eV for the cell shown) = -21.00
- spin magnetization (μB/atom) = 0.0000

Unit cell a=3.413 b=3.413 c=7.062 alpha=103.98 beta=103.98 gamma=90.00
Atoms (fractional coordinates):
Tm1 0.327 0.327 0.653
Os1 0.946 0.946 0.891
Pm1 0.578 0.578 0.156